(1)
Density functional theory data (GGA-PBE) for an optimized crystal structure of Ce5AlPb3.

Output
Calculated formation energy (eV/atom): -0.379
DOS(E_F) (states/eV/atom): 2.73
Energy (eV per atom): -5.328

```
Ce5AlPb3
1.0
9.634 0.000 0.000
-4.817 8.344 0.000
0.000 0.000 6.515
Ce Al Pb
10 2 6
Direct
0.000 0.273 0.250 Ce
0.000 0.727 0.750 Ce
0.273 0.000 0.250 Ce
0.273 0.273 0.750 Ce
0.333 0.667 0.000 Ce
0.333 0.667 0.500 Ce
0.667 0.333 0.000 Ce
0.667 0.333 0.500 Ce
0.727 0.000 0.750 Ce
0.727 0.727 0.250 Ce
0.000 0.000 0.000 Al
0.000 0.000 0.500 Al
0.000 0.374 0.750 Pb
0.000 0.626 0.250 Pb
0.374 0.000 0.750 Pb
0.374 0.374 0.250 Pb
0.626 0.000 0.250 Pb
0.626 0.626 0.750 Pb
```

***

(2)
Density functional theory data (GGA-PBE) for an optimized crystal structure of H2SeF8.

Output
DOS(E_F) (states/eV/atom): 0.00
Energy (eV per atom): -3.830
Offset from the most stable computed form (eV per formula unit): 0.00

```
H2SeF8
1.0
5.539 -2.723 0.000
5.539 2.723 0.000
-1.295 0.000 5.319
H Se F
2 1 8
Direct
0.239 0.239 0.460 H
0.761 0.761 0.540 H
0.000 0.000 0.000 Se
0.074 0.074 0.320 F
0.123 0.675 0.055 F
0.325 0.325 0.530 F
0.325 0.877 0.945 F
0.675 0.123 0.055 F
0.675 0.675 0.470 F
0.877 0.325 0.945 F
0.926 0.926 0.680 F
```

***

(3)
Density functional theory data (GGA-PBE) for an optimized crystal structure of ReHg2Pb.

Output
Calculated formation energy (eV/atom): 0.739
DOS(E_F) (states/eV/atom): 0.78
Energy (eV per atom): -3.451

```
ReHg2Pb
1.0
1.540 0.889 10.676
-1.540 0.889 10.676
0.000 -1.778 10.676
Re Hg Pb
1 2 1
Direct
0.000 0.000 0.000 Re
0.261 0.261 0.261 Hg
0.739 0.739 0.739 Hg
0.500 0.500 0.500 Pb
```

***

(4)
Density functional theory data (GGA-PBE) for an optimized crystal structure of CuSbSe2.

Output
Raw formation energy (eV/atom): 0.033
DOS(E_F) (states/eV/atom): 0.77
Energy (eV per atom): -3.764

```
CuSbSe2
1.0
1.793 1.035 8.391
-1.793 1.035 8.391
0.000 -2.070 8.391
Cu Sb Se
1 1 2
Direct
0.000 0.000 0.000 Cu
0.500 0.500 0.500 Sb
0.388 0.388 0.388 Se
0.612 0.612 0.612 Se
```

***

(5)
Density functional theory data (GGA-PBE) for an optimized crystal structure of PmTlZn2F8.

Output
Raw formation energy (eV/atom): -2.727
DOS(E_F) (states/eV/atom): 0.00
Energy (eV per atom): -4.780

```
PmTlZn2F8
1.0
2.741 1.583 7.984
-2.741 1.583 7.984
0.000 -3.165 7.984
Pm Tl Zn F
1 1 2 8
Direct
0.000 0.000 0.000 Pm
0.500 0.500 0.500 Tl
0.242 0.242 0.242 Zn
0.758 0.758 0.758 Zn
0.041 0.727 0.400 F
0.164 0.164 0.164 F
0.273 0.600 0.959 F
0.400 0.041 0.727 F
0.600 0.959 0.273 F
0.727 0.400 0.041 F
0.836 0.836 0.836 F
0.959 0.273 0.600 F
```

***

(6)
Density functional theory data (GGA-PBE) for an optimized crystal structure of SrIrRu2.

Output
Calculated formation energy (eV/atom): 0.781
DOS(E_F) (states/eV/atom): 1.54
Energy (eV per atom): -6.493
Offset from the most stable computed form (eV per formula unit): 1.53

```
SrIrRu2
1.0
-2.119 2.119 3.919
2.119 -2.119 3.919
2.119 2.119 -3.919
Sr Ir Ru
1 1 2
Direct
0.000 0.000 0.000 Sr
0.250 0.750 0.500 Ir
0.500 0.500 0.000 Ru
0.750 0.250 0.500 Ru
```

***

(7)
Density functional theory data (GGA-PBE) for an optimized crystal structure of RbSbPb2Se4.

Output
Raw formation energy (eV/atom): -0.515
DOS(E_F) (states/eV/atom): 0.29
Energy (eV per atom): -3.820

```
RbSbPb2Se4
1.0
-4.391 4.463 6.201
4.391 -4.463 6.201
4.391 4.463 -6.201
Rb Sb Pb Se
2 2 4 8
Direct
0.500 0.000 0.000 Rb
0.500 0.500 0.500 Rb
0.000 0.000 0.000 Sb
0.500 0.000 0.500 Sb
0.000 0.000 0.500 Pb
0.000 0.500 0.000 Pb
0.000 0.500 0.500 Pb
0.500 0.500 0.000 Pb
0.220 0.238 0.982 Se
0.244 0.229 0.485 Se
0.244 0.759 0.015 Se
0.244 0.762 0.482 Se
0.756 0.238 0.518 Se
0.756 0.241 0.985 Se
0.756 0.771 0.515 Se
0.780 0.762 0.018 Se
```

***

(8)
Density functional theory data (GGA-PBE) for an optimized crystal structure of SrLi2W.

Output
Calculated formation energy (eV/atom): 0.850
DOS(E_F) (states/eV/atom): 0.86
Energy (eV per atom): -3.765
Offset from the most stable computed form (eV per formula unit): 0.49

```
SrLi2W
1.0
2.774 0.000 0.000
0.000 4.844 0.000
-1.364 0.000 6.175
Sr Li W
1 2 1
Direct
0.000 0.000 0.000 Sr
0.240 0.000 0.468 Li
0.339 0.500 0.704 Li
0.647 0.500 0.295 W
```

***

(9)
Density functional theory data (GGA-PBE) for an optimized crystal structure of Ce5Pr3S8.

Output
Raw formation energy (eV/atom): -2.037
DOS(E_F) (states/eV/atom): 1.71
Energy (eV per atom): -6.852

```
Ce5Pr3S8
1.0
4.054 2.341 6.629
-4.054 2.341 6.629
0.000 -4.681 6.629
Ce Pr S
5 3 8
Direct
0.000 0.000 0.000 Ce
0.000 0.500 0.500 Ce
0.500 0.000 0.500 Ce
0.500 0.500 0.000 Ce
0.500 0.500 0.500 Ce
0.000 0.000 0.500 Pr
0.000 0.500 0.000 Pr
0.500 0.000 0.000 Pr
0.250 0.250 0.746 S
0.250 0.746 0.250 S
0.252 0.252 0.252 S
0.254 0.750 0.750 S
0.746 0.250 0.250 S
0.748 0.748 0.748 S
0.750 0.254 0.750 S
0.750 0.750 0.254 S
```

***

(10)
Density functional theory data (GGA-PBE) for an optimized crystal structure of La15NdY4.

Output
Calculated formation energy (eV/atom): 0.008
DOS(E_F) (states/eV/atom): 1.46
Energy (eV per atom): -5.219

```
La15NdY4
1.0
5.226 0.000 0.000
0.000 5.226 0.000
0.000 0.000 26.149
La Nd Y
15 1 4
Direct
0.000 0.000 0.000 La
0.000 0.000 0.200 La
0.000 0.000 0.400 La
0.000 0.000 0.600 La
0.000 0.000 0.800 La
0.000 0.500 0.100 La
0.000 0.500 0.300 La
0.000 0.500 0.500 La
0.000 0.500 0.700 La
0.000 0.500 0.900 La
0.500 0.000 0.100 La
0.500 0.000 0.300 La
0.500 0.000 0.500 La
0.500 0.000 0.700 La
0.500 0.000 0.900 La
0.500 0.500 0.000 Nd
0.500 0.500 0.201 Y
0.500 0.500 0.400 Y
0.500 0.500 0.600 Y
0.500 0.500 0.799 Y
```

***

(11)
Density functional theory data (GGA-PBE) for an optimized crystal structure of CeTm3Th2.

Output
Calculated formation energy (eV/atom): 0.051
DOS(E_F) (states/eV/atom): 1.86
Energy (eV per atom): -5.647

```
CeTm3Th2
1.0
10.763 -1.768 0.000
10.763 1.768 0.000
-6.006 0.000 9.731
Ce Tm Th
2 6 4
Direct
0.106 0.106 0.231 Ce
0.894 0.894 0.769 Ce
0.112 0.112 0.732 Tm
0.223 0.223 0.595 Tm
0.444 0.444 0.567 Tm
0.556 0.556 0.433 Tm
0.777 0.777 0.405 Tm
0.888 0.888 0.268 Tm
0.220 0.220 0.097 Th
0.446 0.446 0.075 Th
0.554 0.554 0.925 Th
0.780 0.780 0.903 Th
```

***

(12)
Density functional theory data (GGA-PBE) for an optimized crystal structure of Ti6CN3.

Output
Raw formation energy (eV/atom): -1.108
DOS(E_F) (states/eV/atom): 0.50
Energy (eV per atom): -9.265
Offset from the most stable computed form (eV per formula unit): 1.37

```
Ti6CN3
1.0
5.160 0.000 0.000
0.000 5.612 0.000
-4.747 0.000 7.724
Ti C N
12 2 6
Direct
0.078 0.039 0.253 Ti
0.078 0.461 0.753 Ti
0.265 0.684 0.089 Ti
0.265 0.816 0.589 Ti
0.397 0.180 0.065 Ti
0.397 0.320 0.565 Ti
0.603 0.680 0.435 Ti
0.603 0.820 0.935 Ti
0.735 0.184 0.411 Ti
0.735 0.316 0.911 Ti
0.922 0.539 0.247 Ti
0.922 0.961 0.747 Ti
0.000 0.000 0.000 C
0.000 0.500 0.500 C
0.324 0.118 0.788 N
0.324 0.382 0.288 N
0.500 0.000 0.500 N
0.500 0.500 0.000 N
0.676 0.618 0.712 N
0.676 0.882 0.212 N
```

***

(13)
Density functional theory data (GGA-PBE) for an optimized crystal structure of HfB3Os.

Output
Calculated formation energy (eV/atom): 0.607
DOS(E_F) (states/eV/atom): 0.58
Energy (eV per atom): -7.636
Offset from the most stable computed form (eV per formula unit): 0.00

```
HfB3Os
1.0
4.013 0.000 0.000
0.000 4.013 0.000
0.000 0.000 4.013
Hf B Os
1 3 1
Direct
0.000 0.000 0.000 Hf
0.000 0.500 0.500 B
0.500 0.000 0.500 B
0.500 0.500 0.000 B
0.500 0.500 0.500 Os
```

***

(14)
Density functional theory data (GGA-PBE) for an optimized crystal structure of ZrNbN2.

Output
Raw formation energy (eV/atom): -1.011
DOS(E_F) (states/eV/atom): 0.61
Energy (eV per atom): -9.828

```
ZrNbN2
1.0
-2.438 2.438 4.910
2.438 -2.438 4.910
2.438 2.438 -4.910
Zr Nb N
2 2 4
Direct
0.000 0.000 0.000 Zr
0.750 0.250 0.500 Zr
0.250 0.750 0.500 Nb
0.500 0.500 0.000 Nb
0.140 0.625 0.015 N
0.375 0.390 0.515 N
0.610 0.125 0.985 N
0.875 0.860 0.485 N
```

***

It is found that the spin magnetization values, taken in the order of the records, are 11.8 0.1 0.0 0.0 0.0 1.3 0.0 0.0 3.5 0.0 0.1 0.0 0.0 0.0 Bohr magnetons per cell.